# Ca2HgGe (PBE, optimized geometry)
data_Ca2HgGe
_cell_length_a 5.291
_cell_length_b 5.291
_cell_length_c 3.684
_cell_angle_alpha 90.00
_cell_angle_beta 90.00
_cell_angle_gamma 90.00
_space_group_name_H-M_alt 'P 4/m m m'
_space_group_IT_number 123
_space_group_name_Hall '-P 4 2'
loop_
_atom_site_label
_atom_site_type_symbol
_atom_site_fract_x
_atom_site_fract_y
_atom_site_fract_z
Ca1 Ca 0.000 0.500 0.000
Hg1 Hg 0.000 0.000 0.500
Ge1 Ge 0.500 0.500 0.500
# Fermi-level density of states in states/eV/atom: 0.38
# Total DFT energy (no corrections) in eV/cell: -11.176
# Volume in Å³ per cell: 103
# Formation energy from the elements in meV per atom: -563